1.
44
Lattice="10.221 0.000 0.000 0.000 7.299 0.000 0.000 0.000 7.455" Properties=species:S:1:pos:R:3 comment="PBEsol Na2InNiF7, optimized geometry" formation_energy_uncorrected_ev_per_atom=-2.398 sg="No. 62" pbc="T T T"
Na 0.000 0.000 0.000
Na 0.000 3.650 0.000
Na 2.356 1.825 1.876
Na 2.754 5.474 5.604
Na 5.111 0.000 3.728
Na 5.111 3.650 3.728
Na 7.467 1.825 1.851
Na 7.865 5.474 5.579
In 2.350 1.825 5.403
In 2.760 5.474 1.676
In 7.461 1.825 5.780
In 7.871 5.474 2.052
Ni 0.000 0.000 3.728
Ni 0.000 3.650 3.728
Ni 5.111 0.000 0.000
Ni 5.111 3.650 0.000
F 0.756 1.825 3.653
F 1.319 4.014 2.293
F 1.319 6.935 2.293
F 1.327 3.721 5.200
F 1.327 7.227 5.200
F 1.424 1.825 7.270
F 1.541 5.474 0.012
F 3.569 1.825 3.740
F 3.687 5.474 3.542
F 3.784 0.072 1.473
F 3.784 3.578 1.473
F 3.791 0.364 6.020
F 3.791 3.285 6.020
F 4.355 5.474 7.380
F 5.866 1.825 0.075
F 6.430 4.014 1.435
F 6.430 6.935 1.435
F 6.438 3.721 5.983
F 6.438 7.227 5.983
F 6.534 1.825 3.913
F 6.652 5.474 3.716
F 8.680 1.825 7.443
F 8.798 5.474 0.185
F 8.894 0.072 2.255
F 8.894 3.578 2.255
F 8.902 0.364 5.163
F 8.902 3.285 5.163
F 9.466 5.474 3.803

---

2.
10
Lattice="0.000 4.334 4.334 4.334 0.000 4.334 4.334 4.334 0.000" Properties=species:S:1:pos:R:3 comment="PBEsol Rb2NaInF6, optimized geometry" formation_energy_uncorrected_ev_per_atom=-2.758 sg="No. 225" dos_at_fermi_per_ev_fu=0.00 pbc="T T T"
Rb 2.167 2.167 2.167
Rb 6.501 6.501 6.501
Na 0.000 0.000 0.000
In 4.334 4.334 4.334
F 4.334 4.334 2.252
F 4.334 2.252 4.334
F 6.416 4.334 4.334
F 2.252 4.334 4.334
F 4.334 6.416 4.334
F 4.334 4.334 6.416